(P)
Na2Ir2O7 | PBE | optimized geometry

Cell and atoms, written as CIF:
```
data_Na2Ir2O7
_symmetry_space_group_name_H-M 'I m m a'
_symmetry_Int_Tables_number 74
_symmetry_space_group_name_Hall '-I 2b 2'
_cell_length_a 7.274
_cell_length_b 10.036
_cell_length_c 7.607
_cell_angle_alpha 90.00
_cell_angle_beta 90.00
_cell_angle_gamma 90.00
loop_
_atom_site_label
_atom_site_fract_x
_atom_site_fract_y
_atom_site_fract_z
Na1 0.000 0.000 0.000
Na2 0.250 0.250 0.250
Ir1 0.000 0.000 0.500
Ir2 0.250 0.250 0.750
O1 0.000 0.085 0.284
O2 0.000 0.250 0.830
O3 0.206 0.115 0.571
```

---

(Q)
Na2Ir2O7 | PBE | optimized geometry

Cell and atoms, written as CIF:
```
data_Na2Ir2O7
_symmetry_space_group_name_H-M 'C m m m'
_symmetry_Int_Tables_number 65
_symmetry_space_group_name_Hall '-C 2 2'
_cell_length_a 6.448
_cell_length_b 7.324
_cell_length_c 5.566
_cell_angle_alpha 90.00
_cell_angle_beta 90.00
_cell_angle_gamma 90.00
loop_
_atom_site_label
_atom_site_fract_x
_atom_site_fract_y
_atom_site_fract_z
Na1 0.247 0.000 0.000
Ir1 0.000 0.274 0.500
O1 0.000 0.000 0.500
O2 0.000 0.500 0.306
O3 0.250 0.250 0.282
```

---

Winner for stability: (P)

---

(P)
Na2IrO4 | PBE | optimized geometry

Cell and atoms, written as CIF:
```
data_Na2IrO4
_symmetry_space_group_name_H-M 'I 4/m m m'
_symmetry_Int_Tables_number 139
_symmetry_space_group_name_Hall '-I 4 2'
_cell_length_a 3.877
_cell_length_b 3.877
_cell_length_c 12.153
_cell_angle_alpha 90.00
_cell_angle_beta 90.00
_cell_angle_gamma 90.00
loop_
_atom_site_label
_atom_site_fract_x
_atom_site_fract_y
_atom_site_fract_z
Na1 0.000 0.000 0.154
Ir1 0.000 0.000 0.500
O1 0.000 0.000 0.343
O2 0.000 0.500 0.000
```

---

(Q)
Na2IrO4 | PBE | optimized geometry

Cell and atoms, written as CIF:
```
data_Na2IrO4
_symmetry_space_group_name_H-M 'F m m 2'
_symmetry_Int_Tables_number 42
_symmetry_space_group_name_Hall 'F 2 -2'
_cell_length_a 7.615
_cell_length_b 8.764
_cell_length_c 7.195
_cell_angle_alpha 90.00
_cell_angle_beta 90.00
_cell_angle_gamma 90.00
loop_
_atom_site_label
_atom_site_fract_x
_atom_site_fract_y
_atom_site_fract_z
Na1 0.250 0.250 0.000
Ir1 0.000 0.000 0.278
O1 0.000 0.197 0.192
O2 0.221 0.000 0.375
```

---

Winner for stability: (P)

---

(P)
Na3IrO4 | PBE | optimized geometry

Cell and atoms, written as CIF:
```
data_Na3IrO4
_symmetry_space_group_name_H-M 'I 4/m m m'
_symmetry_Int_Tables_number 139
_symmetry_space_group_name_Hall '-I 4 2'
_cell_length_a 5.861
_cell_length_b 5.861
_cell_length_c 6.553
_cell_angle_alpha 90.00
_cell_angle_beta 90.00
_cell_angle_gamma 90.00
loop_
_atom_site_label
_atom_site_fract_x
_atom_site_fract_y
_atom_site_fract_z
Na1 0.000 0.000 0.000
Na2 0.000 0.500 0.250
Ir1 0.000 0.000 0.500
O1 0.226 0.226 0.500
```

---

(Q)
Na3IrO4 | PBE | optimized geometry

Cell and atoms, written as CIF:
```
data_Na3IrO4
_symmetry_space_group_name_H-M 'P 1 2/c 1'
_symmetry_Int_Tables_number 13
_symmetry_space_group_name_Hall '-P 2yc'
_cell_length_a 5.729
_cell_length_b 6.560
_cell_length_c 5.529
_cell_angle_alpha 90.00
_cell_angle_beta 109.72
_cell_angle_gamma 90.00
loop_
_atom_site_label
_atom_site_fract_x
_atom_site_fract_y
_atom_site_fract_z
Na1 0.000 0.117 0.250
Na2 0.000 0.379 0.750
Na3 0.500 0.118 0.750
Ir1 0.500 0.375 0.250
O1 0.276 0.168 0.038
O2 0.307 0.401 0.497
```

---

Winner for stability: (Q)

---

(P)
NaPIrO2 | PBE | optimized geometry

Cell and atoms, written as CIF:
```
data_NaPIrO2
_symmetry_space_group_name_H-M 'P 4/m m m'
_symmetry_Int_Tables_number 123
_symmetry_space_group_name_Hall '-P 4 2'
_cell_length_a 3.867
_cell_length_b 3.867
_cell_length_c 5.056
_cell_angle_alpha 90.00
_cell_angle_beta 90.00
_cell_angle_gamma 90.00
loop_
_atom_site_label
_atom_site_fract_x
_atom_site_fract_y
_atom_site_fract_z
Na1 0.000 0.000 0.000
P1 0.500 0.500 0.000
Ir1 0.500 0.500 0.500
O1 0.000 0.500 0.500
```

---

(Q)
NaPIrO2 | PBE | optimized geometry

Cell and atoms, written as CIF:
```
data_NaPIrO2
_symmetry_space_group_name_H-M 'P 4/m m m'
_symmetry_Int_Tables_number 123
_symmetry_space_group_name_Hall '-P 4 2'
_cell_length_a 3.806
_cell_length_b 3.806
_cell_length_c 5.460
_cell_angle_alpha 90.00
_cell_angle_beta 90.00
_cell_angle_gamma 90.00
loop_
_atom_site_label
_atom_site_fract_x
_atom_site_fract_y
_atom_site_fract_z
Na1 0.000 0.000 0.000
P1 0.000 0.000 0.500
Ir1 0.500 0.500 0.500
O1 0.000 0.500 0.000
```

---

Winner for stability: (P)

---

(P)
NaTbIrO4 | PBE | optimized geometry

Cell and atoms, written as CIF:
```
data_NaTbIrO4
_symmetry_space_group_name_H-M 'I m m a'
_symmetry_Int_Tables_number 74
_symmetry_space_group_name_Hall '-I 2b 2'
_cell_length_a 6.530
_cell_length_b 6.944
_cell_length_c 8.890
_cell_angle_alpha 90.00
_cell_angle_beta 90.00
_cell_angle_gamma 90.00
loop_
_atom_site_label
_atom_site_fract_x
_atom_site_fract_y
_atom_site_fract_z
Na1 0.000 0.250 0.117
Tb1 0.000 0.000 0.500
Ir1 0.250 0.250 0.750
O1 0.000 0.067 0.756
O2 0.221 0.250 0.520
```

---

(Q)
NaTbIrO4 | PBE | optimized geometry

Cell and atoms, written as CIF:
```
data_NaTbIrO4
_symmetry_space_group_name_H-M 'A m m 2'
_symmetry_Int_Tables_number 38
_symmetry_space_group_name_Hall 'A 2 -2'
_cell_length_a 3.261
_cell_length_b 16.128
_cell_length_c 9.630
_cell_angle_alpha 90.00
_cell_angle_beta 90.00
_cell_angle_gamma 90.00
loop_
_atom_site_label
_atom_site_fract_x
_atom_site_fract_y
_atom_site_fract_z
Na1 0.000 0.000 0.000
Na2 0.500 0.151 0.130
Tb1 0.500 0.000 0.681
Tb2 0.500 0.173 0.465
Ir1 0.000 0.000 0.312
Ir2 0.000 0.161 0.814
O1 0.000 0.097 0.624
O2 0.000 0.125 0.318
O3 0.000 0.227 0.991
O4 0.500 0.000 0.182
O5 0.500 0.000 0.440
O6 0.500 0.090 0.876
O7 0.500 0.226 0.752
```

---

Winner for stability: (Q)

---

(P)
NaIrOs | PBE | optimized geometry

Cell and atoms, written as CIF:
```
data_NaIrOs
_symmetry_space_group_name_H-M 'P 63/m m c'
_symmetry_Int_Tables_number 194
_symmetry_space_group_name_Hall '-P 6c 2c'
_cell_length_a 4.1051
_cell_length_b 4.1051
_cell_length_c 9.5176
_cell_angle_alpha 90.00
_cell_angle_beta 90.00
_cell_angle_gamma 120.00
loop_
_atom_site_label
_atom_site_fract_x
_atom_site_fract_y
_atom_site_fract_z
Na1 0.0000 0.0000 0.0000
Ir1 0.3333 0.6667 0.2500
Os1 0.3333 0.6667 0.7500
```

---

(Q)
NaIrOs | PBE | optimized geometry

Cell and atoms, written as CIF:
```
data_NaIrOs
_symmetry_space_group_name_H-M 'P -6 m 2'
_symmetry_Int_Tables_number 187
_symmetry_space_group_name_Hall 'P -6 2'
_cell_length_a 4.4706
_cell_length_b 4.4706
_cell_length_c 6.0183
_cell_angle_alpha 90.00
_cell_angle_beta 90.00
_cell_angle_gamma 120.00
loop_
_atom_site_label
_atom_site_fract_x
_atom_site_fract_y
_atom_site_fract_z
Na1 0.0000 0.0000 0.0000
Na2 0.0000 0.0000 0.5000
Ir1 0.3333 0.6667 0.2194
Os1 0.6667 0.3333 0.1905
```

---

Winner for stability: (Q)